LaPaCoO6: relaxed, GGA+U.

```
LaPaCoO6
1.0
-1.981 -2.833 3.395
-0.735 -3.894 -3.678
4.593 0.199 2.846
La O Pa Co
1 6 1 1
Direct
0.500 0.667 0.333 La
0.264 0.271 0.310 O
0.736 0.039 0.310 O
0.264 0.039 0.729 O
0.264 0.690 0.961 O
0.736 0.271 0.961 O
0.736 0.690 0.729 O
0.000 0.333 0.667 Pa
0.500 0.000 0.000 Co
```

**Total energy**: -0.579 Ry per atom